P | A relaxed CeDyHo2 crystal, computed with PBE-GGA.

Lattice parameters (Å, degrees): 11.6723 11.6723 11.6723 17.33 17.33 17.33
Closest atoms and distances in Å follow each position.
Sites, in units of the cell vectors:
Ce (0.0000, 0.0000, 0.0000)  6 Ho 3.51-3.54, 6 Ce 3.52
Dy (0.8343, 0.8343, 0.8343)  6 Ho 3.50-3.52, 6 Dy 3.52
Ho (0.2505, 0.2505, 0.2505)  3 Dy 3.50, 3 Ce 3.51, 6 Ho 3.52
Ho (0.4176, 0.4176, 0.4176)  6 Ho 3.52, 3 Dy 3.52, 3 Ce 3.54

## Properties
crystal system	trigonal

***

Q | A relaxed CeDyHo2 crystal, computed with PBE-GGA.

Lattice parameters (Å, degrees): 12.4085 12.4085 12.4085 15.72 15.72 15.72
Closest atoms and distances in Å follow each position.
Sites, in units of the cell vectors:
Ce (0.0000, 0.0000, 0.0000)  2 Ho 3.26, 6 Ce 3.39
Dy (0.5000, 0.5000, 0.5000)  6 Dy 3.39, 6 Ho 3.47
Ho (0.0887, 0.0887, 0.0887)  1 Ce 3.26, 6 Ho 3.39, 3 Dy 3.47
Ho (0.9113, 0.9113, 0.9113)  1 Ce 3.26, 6 Ho 3.39, 3 Dy 3.47

## Properties
crystal system	trigonal

***

R | A relaxed CeDyHo2 crystal, computed with PBE-GGA.

Lattice parameters (Å, degrees): 3.5147 3.5147 9.9632 90.00 90.00 90.00
Closest atoms and distances in Å follow each position.
Sites, in units of the cell vectors:
Ce (0.0000, 0.0000, 0.0000)  8 Ho 3.49, 4 Ce 3.51
Dy (0.0000, 0.0000, 0.5000)  4 Dy 3.51, 8 Ho 3.55
Ho (0.5000, 0.5000, 0.2461)  4 Ce 3.49, 4 Ho 3.51, 4 Dy 3.55
Ho (0.5000, 0.5000, 0.7539)  4 Ce 3.49, 4 Ho 3.51, 4 Dy 3.55

## Properties
crystal system	tetragonal

***

S | A relaxed CeDyHo2 crystal, computed with PBE-GGA.

Lattice parameters (Å, degrees): 3.5332 3.5332 11.2795 90.00 90.00 120.00
Closest atoms and distances in Å follow each position.
Sites, in units of the cell vectors:
Ce (0.0000, 0.0000, 0.0000)  6 Ho 3.45, 6 Ce 3.53
Dy (0.0000, 0.0000, 0.5000)  6 Ho 3.51, 6 Dy 3.53
Ho (0.3333, 0.6667, 0.7530)  3 Ce 3.45, 3 Dy 3.51, 6 Ho 3.53
Ho (0.6667, 0.3333, 0.2470)  3 Ce 3.45, 3 Dy 3.51, 6 Ho 3.53

## Properties
crystal system	trigonal

***

The structure with the greatest stability is S.

***

P | A relaxed CeDyHo2 crystal, computed with PBE-GGA.

Lattice parameters (Å, degrees): 5.6362 5.6362 5.6362 60.00 60.00 60.00
Closest atoms and distances in Å follow each position.
Sites, in units of the cell vectors:
Ce (0.0000, 0.0000, 0.0000)  8 Ho 3.45
Dy (0.5000, 0.5000, 0.5000)  8 Ho 3.45
Ho (0.2500, 0.2500, 0.2500)  4 Dy 3.45, 4 Ce 3.45
Ho (0.7500, 0.7500, 0.7500)  4 Dy 3.45, 4 Ce 3.45

## Properties
crystal system	cubic

***

Q | A relaxed CeDyHo2 crystal, computed with PBE-GGA.

Lattice parameters (Å, degrees): 4.9793 4.9793 4.9722 90.00 90.00 90.00
Closest atoms and distances in Å follow each position.
Sites, in units of the cell vectors:
Ce (0.0000, 0.0000, 0.0000)  8 Ho 3.52, 4 Dy 3.52
Dy (0.5000, 0.5000, 0.0000)  8 Ho 3.52, 4 Ce 3.52
Ho (0.0000, 0.5000, 0.5000)  4 Dy 3.52, 4 Ce 3.52, 4 Ho 3.52
Ho (0.5000, 0.0000, 0.5000)  4 Dy 3.52, 4 Ce 3.52, 4 Ho 3.52

## Properties
crystal system	tetragonal

***

The structure with the greatest stability is Q.